# 1
NaTl2CuBi | GGA-PBEsol | optimized geometry

As for the density: 8.24 g cm⁻³. Its space-group type is No. 123. As for the calculated total energy: -0.2182 Ry per atom.

Unit cell a=5.119 b=5.119 c=5.416 alpha=90.00 beta=90.00 gamma=90.00
Fractional coordinates of all 5 atoms:
1 Na 0.000 0.000 0.000
2 Tl 0.000 0.500 0.500
3 Tl 0.500 0.000 0.500
4 Cu 0.500 0.500 0.500
5 Bi 0.500 0.500 0.000

=====

# 2
K2CoH4I4O14 | GGA-PBEsol | optimized geometry

As for the density: 4.35 g cm⁻³. Its space-group type is No. 1. Its energy relative to the lowest polymorph listed for this composition is 0.00 eV/f.u. As for the calculated total energy: -0.3640 Ry per atom.

Unit cell a=7.560 b=7.759 c=7.806 alpha=61.50 beta=61.42 gamma=60.90
Fractional coordinates of all 25 atoms:
1 K 0.000 0.000 0.000
2 K 0.471 0.001 0.000
3 Co 0.921 0.504 0.513
4 H 0.208 0.473 0.636
5 H 0.310 0.529 0.373
6 H 0.531 0.623 0.504
7 H 0.639 0.357 0.565
8 I 0.502 0.993 0.490
9 I 0.521 0.486 0.968
10 I 0.966 0.517 0.042
11 I 0.986 0.007 0.509
12 O 0.031 0.176 0.578
13 O 0.052 0.134 0.229
14 O 0.082 0.536 0.193
15 O 0.187 0.502 0.504
16 O 0.217 0.418 0.855
17 O 0.404 0.864 0.421
18 O 0.418 0.865 0.770
19 O 0.487 0.580 0.160
20 O 0.579 0.205 0.112
21 O 0.634 0.489 0.569
22 O 0.692 0.135 0.575
23 O 0.786 0.824 0.418
24 O 0.807 0.468 0.825
25 O 0.894 0.795 0.889

=====

# 3
La3TiAlS7 | GGA-PBEsol | optimized geometry

As for the density: 4.34 g cm⁻³. Its space-group type is No. 173. Its energy relative to the elements, uncorrected is -1.88 eV per atom. As for the calculated total energy: -0.5004 Ry per atom.

Unit cell a=10.412 b=10.412 c=5.837 alpha=90.00 beta=90.00 gamma=120.00
Fractional coordinates of all 24 atoms:
1 La 0.130 0.757 0.000
2 La 0.243 0.373 0.000
3 La 0.373 0.130 0.500
4 La 0.627 0.870 0.000
5 La 0.757 0.627 0.500
6 La 0.870 0.243 0.500
7 Ti 0.000 0.000 0.240
8 Ti 0.000 0.000 0.740
9 Al 0.333 0.667 0.585
10 Al 0.667 0.333 0.085
11 S 0.079 0.849 0.488
12 S 0.105 0.514 0.729
13 S 0.151 0.230 0.488
14 S 0.230 0.079 0.988
15 S 0.333 0.667 0.207
16 S 0.409 0.895 0.729
17 S 0.486 0.591 0.729
18 S 0.514 0.409 0.229
19 S 0.591 0.105 0.229
20 S 0.667 0.333 0.707
21 S 0.770 0.921 0.488
22 S 0.849 0.770 0.988
23 S 0.895 0.486 0.229
24 S 0.921 0.151 0.988

=====

# 4
KIn2Rh | GGA-PBEsol | optimized geometry

As for the density: 6.48 g cm⁻³. Its space-group type is No. 166. As for the calculated total energy: -0.2796 Ry per atom.

Unit cell a=9.932 b=9.932 c=9.932 alpha=19.47 beta=19.47 gamma=19.47
Fractional coordinates of all 4 atoms:
1 K 0.000 0.000 0.000
2 In 0.231 0.231 0.231
3 In 0.769 0.769 0.769
4 Rh 0.500 0.500 0.500

=====

# 5
KDyH2C2SO9 | GGA-PBEsol | optimized geometry

As for the density: 3.65 g cm⁻³. Its space-group type is No. 14. As for the calculated total energy: -0.5156 Ry per atom.

Unit cell a=6.526 b=8.455 c=14.462 alpha=90.00 beta=113.13 gamma=90.00
Fractional coordinates of all 64 atoms:
1 K 0.035 0.147 0.303
2 K 0.035 0.353 0.803
3 K 0.965 0.647 0.197
4 K 0.965 0.853 0.697
5 Dy 0.330 0.247 0.585
6 Dy 0.330 0.253 0.085
7 Dy 0.670 0.747 0.915
8 Dy 0.670 0.753 0.415
9 H 0.031 0.040 0.916
10 H 0.031 0.460 0.416
11 H 0.271 0.037 0.913
12 H 0.271 0.463 0.413
13 H 0.729 0.537 0.587
14 H 0.729 0.963 0.087
15 H 0.969 0.540 0.584
16 H 0.969 0.960 0.084
17 C 0.364 0.538 0.732
18 C 0.364 0.962 0.232
19 C 0.414 0.042 0.780
20 C 0.414 0.458 0.280
21 C 0.586 0.542 0.720
22 C 0.586 0.958 0.220
23 C 0.636 0.038 0.768
24 C 0.636 0.462 0.268
25 S 0.262 0.663 0.027
26 S 0.262 0.837 0.527
27 S 0.738 0.163 0.473
28 S 0.738 0.337 0.973
29 O 0.049 0.737 0.961
30 O 0.049 0.763 0.461
31 O 0.177 0.096 0.942
32 O 0.177 0.404 0.442
33 O 0.214 0.048 0.168
34 O 0.214 0.452 0.668
35 O 0.248 0.011 0.504
36 O 0.248 0.489 0.004
37 O 0.265 0.133 0.723
38 O 0.265 0.367 0.223
39 O 0.306 0.687 0.134
40 O 0.306 0.813 0.634
41 O 0.347 0.614 0.803
42 O 0.347 0.886 0.303
43 O 0.397 0.548 0.347
44 O 0.397 0.952 0.847
45 O 0.445 0.734 0.004
46 O 0.445 0.766 0.504
47 O 0.555 0.234 0.496
48 O 0.555 0.266 0.996
49 O 0.603 0.048 0.153
50 O 0.603 0.452 0.653
51 O 0.653 0.114 0.697
52 O 0.653 0.386 0.197
53 O 0.694 0.187 0.366
54 O 0.694 0.313 0.866
55 O 0.735 0.633 0.777
56 O 0.735 0.867 0.277
57 O 0.752 0.511 0.996
58 O 0.752 0.989 0.496
59 O 0.786 0.548 0.332
60 O 0.786 0.952 0.832
61 O 0.823 0.596 0.558
62 O 0.823 0.904 0.058
63 O 0.951 0.237 0.539
64 O 0.951 0.263 0.039

=====

# 6
ErAgTe2 | GGA-PBEsol | optimized geometry

As for the density: 7.36 g cm⁻³. Its space-group type is No. 156. Its energy relative to the elements, uncorrected is -0.84 eV per atom. As for the calculated total energy: -0.3425 Ry per atom.

Unit cell a=4.401 b=4.401 c=7.130 alpha=90.00 beta=90.00 gamma=120.00
Fractional coordinates of all 4 atoms:
1 Er 0.000 0.000 0.000
2 Ag 0.667 0.333 0.606
3 Te 0.333 0.667 0.754
4 Te 0.667 0.333 0.225

=====

# 7
Mg2AlZn | GGA-PBEsol | optimized geometry

As for the density: 3.22 g cm⁻³. Its space-group type is No. 123. As for the calculated total energy: -0.1679 Ry per atom.

Unit cell a=4.191 b=4.191 c=4.142 alpha=90.00 beta=90.00 gamma=90.00
Fractional coordinates of all 4 atoms:
1 Mg 0.000 0.500 0.000
2 Mg 0.500 0.000 0.000
3 Al 0.000 0.000 0.500
4 Zn 0.500 0.500 0.500

=====

# 8
BeCuIr | GGA-PBEsol | optimized geometry

As for the density: 12.34 g cm⁻³. Its space-group type is No. 216. As for the calculated total energy: -0.4434 Ry per atom.

Unit cell a=3.694 b=3.694 c=3.694 alpha=60.00 beta=60.00 gamma=60.00
Fractional coordinates of all 3 atoms:
1 Be 0.000 0.000 0.000
2 Cu 0.750 0.750 0.750
3 Ir 0.250 0.250 0.250